1.
! Co2SiOs (PBE, optimized geometry); values from VASP
&SYSTEM
  ibrav = 0, nat = 4, ntyp = 3
/
ATOMIC_SPECIES
Co 58.93 Co.upf
Os 190.23 Os.upf
Si 28.09 Si.upf
CELL_PARAMETERS angstrom
-1.6866 1.2346 -1.6439
-1.0314 -0.8148 2.3116
1.8783 6.9385 3.2837
ATOMIC_POSITIONS angstrom
Co 1.8525 6.8432 3.2386
Co -0.9136 1.8551 1.1125
Os 0.9637 3.5601 1.6848
Si 0.0752 5.5077 2.8411
! - DFT total energy (eV/atom) = -7.4959
! - total magnetization (μB per formula unit) = 3.01
! - raw formation energy (meV/atom) = 220



2.
! Co2SiOs (PBE, optimized geometry); values from VASP
&SYSTEM
  ibrav = 0, nat = 4, ntyp = 3
/
ATOMIC_SPECIES
Co 58.93 Co.upf
Os 190.23 Os.upf
Si 28.09 Si.upf
CELL_PARAMETERS angstrom
7.9944 0.0014 0.0008
7.5579 2.6055 0.0008
7.5579 1.2669 2.2768
ATOMIC_POSITIONS angstrom
Co 0.1471 0.0247 0.0145
Co 11.4080 1.9123 1.1247
Os 5.7775 0.9685 0.5696
Si 17.3326 2.9054 1.7088
! - DFT total energy (eV/atom) = -7.8153
! - total magnetization (μB per formula unit) = 0.01
! - raw formation energy (meV/atom) = -99



3.
! Co2SiOs (PBE, optimized geometry); values from VASP
&SYSTEM
  ibrav = 0, nat = 4, ntyp = 3
/
ATOMIC_SPECIES
Co 58.93 Co.upf
Os 190.23 Os.upf
Si 28.09 Si.upf
CELL_PARAMETERS angstrom
-1.3308 1.1095 1.9509
-1.4136 -1.2075 -1.8308
0.4245 -6.7925 4.1523
ATOMIC_POSITIONS angstrom
Co 0.4143 -6.6288 4.0523
Co 0.2225 -3.5598 2.1762
Os -1.2661 -1.7471 1.0982
Si -1.0538 -5.1434 3.1743
! - DFT total energy (eV/atom) = -7.5782
! - total magnetization (μB per formula unit) = 1.36
! - raw formation energy (meV/atom) = 138



4.
! CoSiOs3 (PBE, optimized geometry); values from VASP
&SYSTEM
  ibrav = 0, nat = 5, ntyp = 3
/
ATOMIC_SPECIES
Co 58.93 Co.upf
Si 28.09 Si.upf
Os 190.23 Os.upf
CELL_PARAMETERS angstrom
-0.2332 4.3750 0.2866
-2.6926 -0.3694 3.4482
3.4601 0.0074 2.7027
ATOMIC_POSITIONS angstrom
Co 0.0000 0.0000 0.0000
Si 0.2672 2.0065 3.2187
Os -1.3463 -0.1847 1.7241
Os 1.7300 0.0037 1.3513
Os -0.1166 2.1875 0.1433
! - DFT total energy (eV/atom) = -7.3126
! - total magnetization (μB per formula unit) = 1.45
! - raw formation energy (meV/atom) = 1931
! - energy above the most stable polymorph in this dataset (meV per atom) = 426



5.
! Co2SiOs (PBE, optimized geometry); values from VASP
&SYSTEM
  ibrav = 0, nat = 4, ntyp = 3
/
ATOMIC_SPECIES
Co 58.93 Co.upf
Os 190.23 Os.upf
Si 28.09 Si.upf
CELL_PARAMETERS angstrom
-4.2523 -0.1534 0.6648
-1.7469 -0.1423 -3.9339
3.1017 -2.4682 1.6838
ATOMIC_POSITIONS angstrom
Co 0.0000 0.0000 0.0000
Co -0.8224 -1.3791 -1.9423
Os -2.9996 -0.1478 -1.6346
Si -2.0751 -1.3847 0.3570
! - DFT total energy (eV/atom) = -7.8423
! - total magnetization (μB per formula unit) = 0.00
! - raw formation energy (meV/atom) = -126



6.
! Co2SiOs (PBE, optimized geometry); values from VASP
&SYSTEM
  ibrav = 0, nat = 4, ntyp = 3
/
ATOMIC_SPECIES
Co 58.93 Co.upf
Os 190.23 Os.upf
Si 28.09 Si.upf
CELL_PARAMETERS angstrom
8.0359 0.0091 0.0054
7.5847 2.6548 0.0054
7.5847 1.2935 2.3184
ATOMIC_POSITIONS angstrom
Co 0.0722 0.0123 0.0072
Co 5.8921 1.0048 0.5914
Os 11.5503 1.9698 1.1593
Si 17.2934 2.9492 1.7357
! - DFT total energy (eV/atom) = -7.6780
! - total magnetization (μB per formula unit) = 2.74
! - raw formation energy (meV/atom) = 38



Q: DFT total energy of number 5 (Co2SiOs)?
A: -7.8423 eV/atom



Q: Number 1 is which compound?
A: Co2SiOs



Q: Look up the raw formation energy of the third one.
A: 138 meV/atom



Q: Which value of total magnetization does entry 2 give?
A: 0.01 μB per formula unit